TiSeS | PBE | relaxed

Summary:
The value obtained for the spin magnetization is 0.000 μB per atom. As for the distance to the lowest polymorph of the same formula: 0.157 eV per atom. As for the formation energy from raw total energies: -1050 meV per atom. As for the space group: No. 14.

Lattice parameters (Å, degrees): 6.161 7.654 8.291 45.56 90.00 90.00
Fractional coordinates of all 12 atoms:
1 Se 0.654 0.205 0.043
2 S 0.803 0.576 0.073
3 Se 0.154 0.295 0.457
4 S 0.303 0.924 0.427
5 Ti 0.534 0.675 0.755
6 S 0.197 0.424 0.927
7 S 0.697 0.076 0.573
8 Se 0.846 0.705 0.543
9 Ti 0.466 0.325 0.245
10 Se 0.346 0.795 0.957
11 Ti 0.966 0.175 0.255
12 Ti 0.034 0.825 0.745